A relaxed structure of FeTcOF2, computed with PBE+U.

* offset from the most stable computed form: 4.96 kJ per mole of atoms
* density: 5.3 g cm⁻³

Unit cell a=4.0812 b=4.0812 c=3.9296 alpha=90.00 beta=90.00 gamma=90.00
Fractional positions:
Fe 0.0000 0.0000 0.0000
Tc 0.5000 0.5000 0.5000
O 0.0000 0.0000 0.5000
F 0.0000 0.5000 0.0000
F 0.5000 0.0000 0.0000